(1)
VASP calculation (GGA-PBE) on an optimized crystal structure of GdMgZn.

Values from the calculation:
Uncorrected energy: -2.685 eV per atom
Crystal system: trigonal
Calculated volume: 22.93 Å³ per atom

Cell lengths 4.9616, 4.9616, 9.6811 Å; angles 90.00, 90.00, 120.00 degrees
With the nearest neighbours (Å) after each atom.
Positions (direct):
Gd: 0.0000 0.0000 0.0000  7 Zn 2.99-3.31
Gd: 0.0000 0.0000 0.3576  6 Mg 3.12-3.22, 4 Zn 3.16-3.38, 1 Gd 3.46
Gd: 0.3333 0.6667 0.6169  4 Zn 2.86-2.94, 3 Mg 3.14
Mg: 0.3333 0.6667 0.2051  4 Zn 2.84-2.88
Mg: 0.6667 0.3333 0.4841  1 Zn 3.03, 6 Gd 3.12-3.14, 1 Mg 3.21
Mg: 0.6667 0.3333 0.8162  6 Zn 3.01-3.14, 1 Mg 3.21, 3 Gd 3.37
Zn: 0.0000 0.0000 0.6841  5 Gd 2.94-3.16, 3 Mg 3.14
Zn: 0.3333 0.6667 0.9120  4 Mg 2.84-3.01, 4 Gd 2.86-2.99
Zn: 0.6667 0.3333 0.1715  4 Mg 2.88-3.03

(2)
VASP calculation (GGA-PBE) on an optimized crystal structure of K2Sm.

Values from the calculation:
Crystal system: cubic
Excess energy over the best structure of this formula in the dataset: 0.0284 eV per atom
Calculated volume: 48.79 Å³ per atom

Cell lengths 7.4528, 7.4528, 7.4528 Å; angles 60.00, 60.00, 60.00 degrees
With the nearest neighbours (Å) after each atom.
Positions (direct):
K: 0.0000 0.0000 0.0000  6 K 3.73
K: 0.0000 0.0000 0.5000  6 K 3.73
K: 0.0000 0.5000 0.0000  6 K 3.73
K: 0.5000 0.0000 0.0000  6 K 3.73
Sm: 0.3750 0.3750 0.3750  12 K 4.37, 4 Sm 4.56
Sm: 0.6250 0.6250 0.6250  12 K 4.37, 4 Sm 4.56

(3)
VASP calculation (GGA-PBE) on an optimized crystal structure of GdCdHg.

Values from the calculation:
Crystal system: cubic
Calculated volume: 27.93 Å³ per atom
Energy of formation from the pure elements: -257 meV/atom

Cell lengths 4.9118, 4.9118, 4.9118 Å; angles 60.00, 60.00, 60.00 degrees
With the nearest neighbours (Å) after each atom.
Positions (direct):
Gd: 0.0000 0.0000 0.0000  4 Hg 3.01
Cd: 0.5000 0.5000 0.5000  4 Hg 3.01
Hg: 0.7500 0.7500 0.7500  4 Gd 3.01, 4 Cd 3.01

(4)
VASP calculation (GGA-PBE) on an optimized crystal structure of Dy2Y3Tm2Ni2Te2.

Values from the calculation:
Crystal system: orthorhombic
Excess energy over the best structure of this formula in the dataset: 0.0008 eV per atom
Calculated volume: 26.05 Å³ per atom

Cell lengths 9.3423, 9.3423, 9.3423 Å; angles 156.20, 66.78, 118.64 degrees
With the nearest neighbours (Å) after each atom.
Positions (direct):
Dy: 0.1475 0.0000 0.1475  2 Ni 2.82
Dy: 0.8525 0.0000 0.8525  2 Ni 2.82
Y: 0.2309 0.7309 0.5000  3 Te 3.16-3.20
Y: 0.5164 0.1480 0.3685  2 Ni 2.81, 1 Te 3.12
Y: 0.7795 0.1480 0.6315  2 Ni 2.81, 1 Te 3.12
Tm: 0.1644 0.3496 0.8149  2 Ni 2.77
Tm: 0.5347 0.3496 0.1851  2 Ni 2.77
Ni: 0.3964 0.6592 0.7372  2 Tm 2.77, 2 Y 2.81, 2 Dy 2.82
Ni: 0.9220 0.6592 0.2628  2 Tm 2.77, 2 Y 2.81, 2 Dy 2.82
Te: 0.4938 0.4938 0.0000  6 Y 3.16-3.18, 2 Tm 3.20
Te: 0.8949 0.3949 0.5000  3 Y 3.12-3.20, 4 Dy 3.16

(5)
VASP calculation (GGA-PBE) on an optimized crystal structure of Li4TbOsO6.

Values from the calculation:
Uncorrected energy: -6.444 eV per atom
Crystal system: monoclinic
Calculated volume: 10.20 Å³ per atom

Cell lengths 5.3656, 5.3656, 5.2185 Å; angles 99.47, 99.47, 120.34 degrees
With the nearest neighbours (Å) after each atom.
Positions (direct):
Li: 0.0000 0.0000 0.0000  2 O 2.01
Li: 0.3758 0.6242 0.0000  4 O 1.98-2.12
Li: 0.6842 0.3158 0.0000  4 O 2.07-2.20
Li: 0.8517 0.1483 0.5000  6 O 2.16-2.21
Tb: 0.1863 0.8137 0.5000  6 O 2.24-2.25
Os: 0.5182 0.4818 0.5000  6 O 2.00-2.02
O: 0.1320 0.3957 0.2569  3 Li 2.01-2.19, 1 Os 2.02, 1 Tb 2.24
O: 0.2839 0.2581 0.7346  3 Li 1.98-2.20, 1 Os 2.00
O: 0.4486 0.1090 0.2580  1 Os 2.00, 2 Li 2.07-2.21
O: 0.6043 0.8680 0.7431  3 Li 2.01-2.19, 1 Os 2.02, 1 Tb 2.24
O: 0.7419 0.7161 0.2654  3 Li 1.98-2.20, 1 Os 2.00
O: 0.8910 0.5514 0.7420  1 Os 2.00, 2 Li 2.07-2.21

(6)
VASP calculation (GGA-PBE) on an optimized crystal structure of PuZr.

Values from the calculation:
Crystal system: orthorhombic
Calculated volume: 23.99 Å³ per atom
Energy of formation from the pure elements: 37 meV/atom

Cell lengths 5.4290, 5.3066, 6.6618 Å; angles 90.00, 90.00, 90.00 degrees
With the nearest neighbours (Å) after each atom.
Positions (direct):
Pu: 0.0470 0.2500 0.1229  8 Zr 3.14-3.47, 4 Pu 3.16-3.20
Pu: 0.4530 0.7500 0.6229  8 Zr 3.14-3.47, 4 Pu 3.16-3.20
Pu: 0.5470 0.2500 0.3771  8 Zr 3.14-3.47, 4 Pu 3.16-3.20
Pu: 0.9530 0.7500 0.8771  8 Zr 3.14-3.47, 4 Pu 3.16-3.20
Zr: 0.0404 0.2500 0.6244  8 Pu 3.14-3.47, 4 Zr 3.16-3.19
Zr: 0.4596 0.7500 0.1244  8 Pu 3.14-3.47, 4 Zr 3.16-3.19
Zr: 0.5404 0.2500 0.8756  8 Pu 3.14-3.47, 4 Zr 3.16-3.19
Zr: 0.9596 0.7500 0.3756  8 Pu 3.14-3.47, 4 Zr 3.16-3.19

(7)
VASP calculation (GGA-PBE) on an optimized crystal structure of Nb4SiSN2.

Values from the calculation:
Uncorrected energy: -9.065 eV per atom
Crystal system: hexagonal
Calculated volume: 13.71 Å³ per atom

Cell lengths 3.2423, 3.2423, 12.0483 Å; angles 90.00, 90.00, 120.00 degrees
With the nearest neighbours (Å) after each atom.
Positions (direct):
Nb: 0.0000 0.0000 0.1512  3 N 2.20
Nb: 0.0000 0.0000 0.8488  3 N 2.20
Nb: 0.3333 0.6667 0.3420  3 N 2.19
Nb: 0.3333 0.6667 0.6580  3 N 2.19
Si: 0.0000 0.0000 0.5000  6 Nb 2.67
S: 0.3333 0.6667 0.0000  6 Nb 2.61
N: 0.6667 0.3333 0.2469  6 Nb 2.19-2.20
N: 0.6667 0.3333 0.7531  6 Nb 2.19-2.20

(8)
VASP calculation (GGA-PBE) on an optimized crystal structure of ReTe2Se3.

Values from the calculation:
Crystal system: triclinic
Excess energy over the best structure of this formula in the dataset: 0.0537 eV per atom
Calculated volume: 30.56 Å³ per atom

Cell lengths 6.9653, 7.2772, 8.5442 Å; angles 101.34, 109.89, 107.32 degrees
With the nearest neighbours (Å) after each atom.
Positions (direct):
Re: 0.2309 0.0102 0.0249  5 Se 2.49-2.61, 1 Te 2.74
Re: 0.7691 0.9898 0.9751  5 Se 2.49-2.61, 1 Te 2.74
Te: 0.0595 0.7906 0.6655  1 Re 2.80, 1 Se 2.89, 1 Te 2.95
Te: 0.2413 0.9954 0.3460  1 Se 2.65, 1 Re 2.74, 1 Te 2.95
Te: 0.7587 0.0046 0.6540  1 Se 2.65, 1 Re 2.74, 1 Te 2.95
Te: 0.9405 0.2094 0.3345  1 Re 2.80, 1 Se 2.89, 1 Te 2.95
Se: 0.0727 0.2673 0.9629  2 Re 2.49-2.50, 1 Te 2.65
Se: 0.4208 0.6566 0.7680  1 Se 2.46, 1 Re 2.61
Se: 0.4726 0.8074 0.0704  1 Se 2.46, 2 Re 2.53-2.57
Se: 0.5274 0.1926 0.9296  1 Se 2.46, 2 Re 2.53-2.57
Se: 0.5792 0.3434 0.2320  1 Se 2.46, 1 Re 2.61
Se: 0.9273 0.7327 0.0371  2 Re 2.49-2.50, 1 Te 2.65